[1]
CuSbCl at its PBEsol-relaxed geometry, computed with SCAN.

a b c (Å): 4.516 4.516 4.516
angles (deg): 60.00 60.00 60.00
Sites, in units of the cell vectors:
Sb 0.000 0.000 0.000
Cu 0.250 0.250 0.250
Cl 0.500 0.500 0.500

**Electronic total energy**: -19.71 eV per atom
**Raw formation energy**: 0.431 eV/atom
**M_tot**: 0.00 μB/atom
**Space group**: No. 216


[2]
ScRe2Br at its PBEsol-relaxed geometry, computed with SCAN.

a b c (Å): 4.338 4.659 4.338
angles (deg): 62.26 90.00 117.74
Sites, in units of the cell vectors:
Br 0.750 0.500 0.750
Re 0.000 0.000 0.000
Re 0.250 0.500 0.250
Sc 0.500 0.000 0.500

**Electronic total energy**: -43.11 eV per atom
**Raw formation energy**: 0.866 eV/atom
**M_tot**: 0.00 μB/atom
**Space group**: No. 119


[3]
Rb2Be2As at its PBEsol-relaxed geometry, computed with SCAN.

a b c (Å): 4.512 4.512 7.203
angles (deg): 108.25 108.25 90.00
Sites, in units of the cell vectors:
Be 0.423 0.423 0.845
Be 0.577 0.577 0.155
As 0.000 0.000 0.000
Rb 0.250 0.750 0.500
Rb 0.750 0.250 0.500

**ΔE_f**: 546.7 kJ/mol of formula units
**Electronic total energy**: -12.94 eV per atom
**M_tot**: 0.00 μB/atom
**Space group**: No. 139


[4]
Cs3KLi at its PBEsol-relaxed geometry, computed with SCAN.

a b c (Å): 8.132 8.132 8.132
angles (deg): 90.00 90.00 90.00
Sites, in units of the cell vectors:
Cs 0.000 0.500 0.000
Cs 0.000 0.000 0.500
Cs 0.500 0.000 0.000
K 0.000 0.000 0.000
Li 0.500 0.500 0.500

**ΔE_f**: 160.9 kJ/mol of formula units
**Electronic total energy**: -24.50 eV per atom
**M_tot**: 0.03 μB/atom
**Space group**: No. 221